A relaxed CaMg11Pd crystal. Source: the Alexandria database, functional PBE.

Cell: 5.675 14.503 7.740 Å, 90.00 109.90 90.00°
Space group C2/m (No. 12)
Asymmetric unit:
Ca  0.000  0.000  0.000 (multiplicity 2)
Mg  0.000  0.000  0.500 (multiplicity 2)
Mg  0.096  0.396  0.222 (multiplicity 8)
Mg  0.186  0.170  0.361 (multiplicity 8)
Mg  0.250  0.250  0.000 (multiplicity 4)
Pd  0.000  0.500  0.500 (multiplicity 2)

Summary:
As for the formation energy from the elements: -142 meV per atom.

---

A relaxed K3La3TaS8 crystal. Source: the Alexandria database, functional PBE.

Cell: 8.2462 8.2462 22.5399 Å, 90.00 90.00 120.00°
Space group R-3m (No. 166, hexagonal axes)
Asymmetric unit:
K  0.0000  0.5000  0.0000 (multiplicity 9)
La  0.0000  0.5000  0.5000 (multiplicity 9)
Ta  0.0000  0.0000  0.5000 (multiplicity 3)
S  0.0000  0.0000  0.2380 (multiplicity 6)
S  0.0392  0.5196  0.2300 (multiplicity 18)

Summary:
The formation energy without anion corrections is -1.67 eV per atom.

---

A relaxed Tl3PbBr6 crystal. Source: the Alexandria database, functional PBE.

Cell: 7.795 8.378 13.783 Å, 90.00 124.23 90.00°
Space group P2_1/c (No. 14)
Asymmetric unit:
Tl  0.000  0.000  0.000 (multiplicity 2)
Tl  0.217  0.085  0.750 (multiplicity 4)
Pb  0.500  0.000  0.500 (multiplicity 2)
Br  0.126  0.192  0.439 (multiplicity 4)
Br  0.255  0.695  0.440 (multiplicity 4)
Br  0.376  0.037  0.251 (multiplicity 4)

Summary:
As for the energy above the most stable polymorph in this dataset: 0 meV per atom. The formation energy without anion corrections is -0.78 eV per atom.